Record 1
The following is a PBE-GGA calculation of crystalline LuTlCoHg at its relaxed geometry, from the Open Quantum Materials Database.

Calculated values
Energy relative to the lowest polymorph listed for this composition, kJ per mole of atoms: 0.0
SG: F-43m, No. 216
Calculated total energy, eV for the cell shown: -13.9

Structure (POSCAR):
```
LuTlCoHg
1.0
0.2868 -3.5576 -3.2619
-3.2863 -3.5466 -0.0044
-3.2526 -0.2776 -3.5668
Lu Hg Co Tl
1 1 1 1
Direct
0.2500 0.2500 0.2500 Lu
0.5000 0.5000 0.5000 Hg
0.7500 0.7500 0.7500 Co
0.0000 0.0000 0.0000 Tl
```

Record 2
The following is a PBE-GGA calculation of crystalline LuTlCoHg at its relaxed geometry, from the Open Quantum Materials Database.

Calculated values
Energy relative to the lowest polymorph listed for this composition, kJ per mole of atoms: 3.1
SG: F-43m, No. 216
Calculated total energy, eV for the cell shown: -13.8

Structure (POSCAR):
```
LuTlCoHg
1.0
0.6691 -3.7519 3.0522
-1.5463 0.3065 4.6212
-3.8209 -2.6569 1.4771
Tl Hg Lu Co
1 1 1 1
Direct
0.0000 0.0000 0.0000 Tl
0.2500 0.2500 0.2500 Hg
0.5000 0.5000 0.5000 Lu
0.7500 0.7500 0.7500 Co
```